# 1
Below is a relaxed K2ReTc crystal, with properties calculated at the PBE-GGA level.

Properties
Crystal system ... monoclinic
Calculated formation energy ... 1.395 eV/atom
Total energy ... -4.857 eV per atom
Distance to the lowest polymorph of the same formula ... 583 meV/atom

a b c (Å): 5.350 11.861 2.680
angles (deg): 90.00 105.04 90.00
Space group C2/m (No. 12)
Asymmetric unit:
K 0.250 0.250 0.000
Re 0.000 0.000 0.500
Tc 0.000 0.500 0.500

# 2
Below is a relaxed K2ReTc crystal, with properties calculated at the PBE-GGA level.

Properties
Crystal system ... orthorhombic
Calculated formation energy ... 1.411 eV/atom
Total energy ... -4.841 eV per atom
Distance to the lowest polymorph of the same formula ... 599 meV/atom

a b c (Å): 5.322 11.767 2.651
angles (deg): 90.00 90.00 90.00
Space group Cmmm (No. 65)
Asymmetric unit:
K 0.250 0.250 0.000
Re 0.000 0.000 0.500
Tc 0.000 0.500 0.500

# 3
Below is a relaxed KReTc3 crystal, with properties calculated at the PBE-GGA level.

Properties
Crystal system ... cubic
Calculated formation energy ... 1.608 eV/atom
Total energy ... -7.320 eV per atom
Distance to the lowest polymorph of the same formula ... 0 meV/atom

a b c (Å): 4.827 4.827 4.827
angles (deg): 90.00 90.00 90.00
Space group Pm-3m (No. 221)
Asymmetric unit:
K 0.000 0.000 0.000
Re 0.500 0.500 0.500
Tc 0.000 0.500 0.500

# 4
Below is a relaxed K2ReTc crystal, with properties calculated at the PBE-GGA level.

Properties
Crystal system ... monoclinic
Calculated formation energy ... 0.887 eV/atom
Total energy ... -5.365 eV per atom
Distance to the lowest polymorph of the same formula ... 75 meV/atom

a b c (Å): 7.860 3.070 10.258
angles (deg): 90.00 92.30 90.00
Space group Cm (No. 8)
Asymmetric unit:
K 0.000 0.000 0.000
K 0.233 0.000 0.582
Re 0.255 0.500 0.248
Tc 0.476 0.000 0.336

# 5
Below is a relaxed K2ReTc crystal, with properties calculated at the PBE-GGA level.

Properties
Crystal system ... tetragonal
Calculated formation energy ... 2.065 eV/atom
Total energy ... -4.187 eV per atom
Distance to the lowest polymorph of the same formula ... 1253 meV/atom

a b c (Å): 4.656 4.656 5.159
angles (deg): 90.00 90.00 90.00
Space group P4/mmm (No. 123)
Asymmetric unit:
K 0.000 0.000 0.250
Re 0.500 0.500 0.000
Tc 0.500 0.500 0.500

# 6
Below is a relaxed K2ReTc crystal, with properties calculated at the PBE-GGA level.

Properties
Crystal system ... tetragonal
Calculated formation energy ... 1.702 eV/atom
Total energy ... -4.550 eV per atom
Distance to the lowest polymorph of the same formula ... 890 meV/atom

a b c (Å): 12.623 12.623 4.571
angles (deg): 90.00 90.00 90.00
Space group I-42d (No. 122)
Asymmetric unit:
K 0.078 0.250 0.125
Re 0.000 0.000 0.500
Tc 0.000 0.000 0.000

# 7
Below is a relaxed K3ReTc crystal, with properties calculated at the PBE-GGA level.

Properties
Crystal system ... cubic
Calculated formation energy ... 2.354 eV/atom
Total energy ... -2.867 eV per atom
Distance to the lowest polymorph of the same formula ... 0 meV/atom

a b c (Å): 6.280 6.280 6.280
angles (deg): 90.00 90.00 90.00
Space group Pm-3m (No. 221)
Asymmetric unit:
K 0.000 0.000 0.500
Re 0.000 0.000 0.000
Tc 0.500 0.500 0.500

# 8
Below is a relaxed K2ReTc crystal, with properties calculated at the PBE-GGA level.

Properties
Crystal system ... orthorhombic
Calculated formation energy ... 0.815 eV/atom
Total energy ... -5.437 eV per atom
Distance to the lowest polymorph of the same formula ... 3 meV/atom

a b c (Å): 3.221 3.235 10.852
angles (deg): 90.00 90.00 90.00
Space group Pmm2 (No. 25)
Asymmetric unit:
K 0.000 0.000 0.000
K 0.500 0.500 0.402
Re 0.500 0.500 0.753
Tc 0.000 0.000 0.650

In states/eV/cell, the density of states at the Fermi level values for the records above are, in order, 6.52; 6.02; 4.73; 6.33; 4.23; 27.00; 10.86; 5.05.